Entry 1:
{
  "formula": "NaTb3Ag2Te6",
  "functional": "PBE-GGA",
  "state": "optimized geometry",
  "space_group": "C2/m",
  "e_form_raw_ev_per_atom": -1.0074,
  "final_energy_ev_per_atom": -4.32,
  "cell": [[-0.1969, 2.9508, -3.3695], [-2.0497, -6.5123, -5.5832], [-8.7817, 2.0767, 5.3143]],
  "species": ["Tb", "Tb", "Tb", "Te", "Te", "Te", "Te", "Te", "Te", "Ag", "Ag", "Na"],
  "frac_coords": [[0.8307, 0.1967, 0.6614], [0.5000, 0.5000, 0.0000], [0.1693, 0.8033, 0.3386], [0.6659, 0.0602, 0.3317], [0.3341, 0.9398, 0.6683], [0.0142, 0.7485, 0.0284], [0.9858, 0.2515, 0.9716], [0.3430, 0.4502, 0.6859], [0.6570, 0.5498, 0.3141], [0.2164, 0.2370, 0.4329], [0.7836, 0.7630, 0.5671], [0.5000, 0.0000, 0.0000]]
}

=====

Entry 2:
{
  "formula": "NaTbZnAg",
  "functional": "PBE-GGA",
  "state": "optimized geometry",
  "space_group": "F-43m",
  "final_energy_ev_per_atom": -2.60,
  "ef_mev_per_atom": -78,
  "cell": [[-3.7388, 0.2948, -3.3537], [0.6468, -1.8005, -4.6532], [-2.4193, -4.1686, -1.4432]],
  "species": ["Zn", "Na", "Tb", "Ag"],
  "frac_coords": [[0.0000, 0.0000, 0.0000], [0.2500, 0.2500, 0.2500], [0.7500, 0.7500, 0.7500], [0.5000, 0.5000, 0.5000]]
}

=====

Entry 3:
{
  "formula": "Na2TcAg",
  "functional": "PBE-GGA",
  "state": "optimized geometry",
  "space_group": "Fm-3m",
  "final_energy_ev_per_atom": -2.98,
  "ef_mev_per_atom": 981,
  "cell": [[-1.6038, -2.5512, 3.8959], [-4.3371, -2.3260, -0.1952], [-0.1503, -4.9201, -0.1704]],
  "species": ["Tc", "Na", "Na", "Ag"],
  "frac_coords": [[0.0000, 0.0000, 0.0000], [0.7500, 0.7500, 0.7500], [0.2500, 0.2500, 0.2500], [0.5000, 0.5000, 0.5000]]
}

=====

Entry 4:
{
  "formula": "NaTc3Ag",
  "functional": "PBE-GGA",
  "state": "optimized geometry",
  "space_group": "Pm-3m",
  "final_energy_ev_per_atom": -4.47,
  "ef_mev_per_atom": 2583,
  "cell": [[-0.5152, -2.0230, -4.0044], [4.0136, -2.0090, 0.4986], [-2.0048, -3.5021, 2.0272]],
  "species": ["Tc", "Tc", "Tc", "Ag", "Na"],
  "frac_coords": [[0.0000, 0.0000, 0.5000], [0.5000, 0.0000, 0.0000], [0.0000, 0.5000, 0.0000], [0.5000, 0.5000, 0.5000], [0.0000, 0.0000, 0.0000]]
}

=====

Entry 5:
{
  "formula": "NaTc3Ag",
  "functional": "PBE-GGA",
  "state": "optimized geometry",
  "space_group": "Pm-3m",
  "final_energy_ev_per_atom": -4.72,
  "ef_mev_per_atom": 2330,
  "cell": [[-4.4473, -1.6116, 1.8493], [0.2282, -4.0842, -3.0105], [2.4423, -2.5530, 3.6487]],
  "species": ["Ag", "Tc", "Tc", "Tc", "Na"],
  "frac_coords": [[0.0000, 0.0000, 0.0000], [0.5000, 0.0000, 0.0000], [0.0000, 0.0000, 0.5000], [0.0000, 0.5000, 0.0000], [0.5000, 0.5000, 0.5000]]
}

=====

Entry 6:
{
  "formula": "NaTc2Ag",
  "functional": "PBE-GGA",
  "state": "optimized geometry",
  "space_group": "I-42d",
  "final_energy_ev_per_atom": -5.34,
  "ef_mev_per_atom": 882,
  "cell": [[-0.3195, -3.1161, 1.8354], [1.2258, -1.8268, -2.8881], [10.3812, -1.4048, 3.0126]],
  "species": ["Tc", "Tc", "Tc", "Tc", "Na", "Na", "Ag", "Ag"],
  "frac_coords": [[0.3750, 0.3904, 0.7500], [0.6096, 0.1250, 0.2500], [0.1404, 0.6250, 0.2500], [0.8750, 0.8596, 0.7500], [0.2500, 0.7500, 0.5000], [0.5000, 0.5000, 0.0000], [0.0000, 0.0000, 0.0000], [0.7500, 0.2500, 0.5000]]
}

=====

Entry 7:
{
  "formula": "Na2TcAg",
  "functional": "PBE-GGA",
  "state": "optimized geometry",
  "space_group": "I-42d",
  "final_energy_ev_per_atom": -2.93,
  "ef_mev_per_atom": 1036,
  "cell": [[-4.3485, -0.7957, 6.8080], [0.0690, -8.0671, -0.8987], [0.2537, -4.5793, 4.4661]],
  "species": ["Na", "Na", "Na", "Na", "Tc", "Tc", "Ag", "Ag"],
  "frac_coords": [[0.1064, 0.6250, 0.2500], [0.6436, 0.1250, 0.2500], [0.3750, 0.3564, 0.7500], [0.8750, 0.8936, 0.7500], [0.5000, 0.5000, 0.0000], [0.2500, 0.7500, 0.5000], [0.7500, 0.2500, 0.5000], [0.0000, 0.0000, 0.0000]]
}

=====

Entry 8:
{
  "formula": "NaTc2Ag",
  "functional": "PBE-GGA",
  "state": "optimized geometry",
  "space_group": "Fm-3m",
  "final_energy_ev_per_atom": -4.89,
  "ef_mev_per_atom": 1337,
  "cell": [[0.6354, 1.4050, 4.2752], [-1.4341, 4.1199, 1.2749], [-3.5485, 0.4017, 2.8111]],
  "species": ["Ag", "Tc", "Tc", "Na"],
  "frac_coords": [[0.5000, 0.5000, 0.5000], [0.2500, 0.2500, 0.2500], [0.7500, 0.7500, 0.7500], [0.0000, 0.0000, 0.0000]]
}

=====

Entry 9:
{
  "formula": "NaTiTc2Ag",
  "functional": "PBE-GGA",
  "state": "optimized geometry",
  "space_group": "P4/mmm",
  "final_energy_ev_per_atom": -4.43,
  "ef_mev_per_atom": 2125,
  "cell": [[4.6142, 0.0000, 0.0000], [0.0000, 4.5334, 0.0000], [0.0000, 0.0000, 4.6142]],
  "species": ["Ag", "Tc", "Tc", "Ti", "Na"],
  "frac_coords": [[0.5000, 0.5000, 0.5000], [0.5000, 0.0000, 0.0000], [0.0000, 0.0000, 0.5000], [0.0000, 0.5000, 0.0000], [0.0000, 0.0000, 0.0000]]
}

=====

Entry 10:
{
  "formula": "NaY2TcAg",
  "functional": "PBE-GGA",
  "state": "optimized geometry",
  "space_group": "P4/mmm",
  "final_energy_ev_per_atom": -4.97,
  "ef_mev_per_atom": 520,
  "cell": [[5.1846, 0.0000, 0.0000], [0.0000, 5.4276, 0.0000], [0.0000, 0.0000, 5.1846]],
  "species": ["Y", "Y", "Na", "Ag", "Tc"],
  "frac_coords": [[0.0000, 0.0000, 0.5000], [0.5000, 0.0000, 0.0000], [0.0000, 0.5000, 0.0000], [0.5000, 0.5000, 0.5000], [0.0000, 0.0000, 0.0000]]
}

=====

Entry 11:
{
  "formula": "NaYTc2Ag",
  "functional": "PBE-GGA",
  "state": "optimized geometry",
  "space_group": "P4/mmm",
  "final_energy_ev_per_atom": -4.64,
  "ef_mev_per_atom": 1634,
  "cell": [[-0.6990, 3.3381, -3.6876], [-4.5674, 1.8740, 2.5621], [2.7801, 3.3501, 2.5056]],
  "species": ["Ag", "Y", "Tc", "Tc", "Na"],
  "frac_coords": [[0.0000, 0.5000, 0.0000], [0.0000, 0.0000, 0.0000], [0.0000, 0.0000, 0.5000], [0.5000, 0.0000, 0.0000], [0.5000, 0.5000, 0.5000]]
}

=====

Entry 12:
{
  "formula": "NaYTc2Ag",
  "functional": "PBE-GGA",
  "state": "optimized geometry",
  "space_group": "P4/mmm",
  "final_energy_ev_per_atom": -4.46,
  "ef_mev_per_atom": 1817,
  "cell": [[4.9040, 0.0000, 0.0000], [0.0000, 5.3976, 0.0000], [0.0000, 0.0000, 4.9040]],
  "species": ["Ag", "Na", "Y", "Tc", "Tc"],
  "frac_coords": [[0.5000, 0.5000, 0.5000], [0.0000, 0.5000, 0.0000], [0.0000, 0.0000, 0.0000], [0.5000, 0.0000, 0.0000], [0.0000, 0.0000, 0.5000]]
}

=====

Please write out number 11 again, unchanged.
{
  "formula": "NaYTc2Ag",
  "functional": "PBE-GGA",
  "state": "optimized geometry",
  "space_group": "P4/mmm",
  "final_energy_ev_per_atom": -4.64,
  "ef_mev_per_atom": 1634,
  "cell": [[-0.6990, 3.3381, -3.6876], [-4.5674, 1.8740, 2.5621], [2.7801, 3.3501, 2.5056]],
  "species": ["Ag", "Y", "Tc", "Tc", "Na"],
  "frac_coords": [[0.0000, 0.5000, 0.0000], [0.0000, 0.0000, 0.0000], [0.0000, 0.0000, 0.5000], [0.5000, 0.0000, 0.0000], [0.5000, 0.5000, 0.5000]]
}